## CsZnMo2F (PBE+U)

Data for a relaxed structure of CsZnMo2F.

Spin magnetization in μB per cell: 9.77
Total DFT energy (no corrections) in eV/f.u.: -15.67
Volume in Å³/atom: 33.487

a b c (Å): 5.2396 5.2396 6.0990
angles (deg): 90.00 90.00 90.00
Last column: nearest neighbours and their distance in Å.
Space group P4/mmm (No. 123)
Asymmetric unit:
Cs 0.0000 0.0000 0.0000 [1 per cell]  4 F 3.70, 8 Mo 4.02
Zn 0.5000 0.5000 0.5000 [1 per cell]  4 Mo 2.62
Mo 0.0000 0.5000 0.5000 [2 per cell]  2 Zn 2.62
F 0.5000 0.5000 0.0000 [1 per cell]  2 Zn 3.05